A plane-wave DFT calculation with PBE was carried out for crystalline KCu8 at its relaxed geometry.

As for the uncorrected energy: -3.09 eV per atom.

The space group is Fddd (No. 70, origin choice 2) and the conventional cell measures 5.0945, 8.2426 and 25.1600 Å, with angles of 90.00, 90.00 and 90.00 degrees. The inequivalent atoms are K at (0.1250, 0.1250, 0.1250), Cu at (0.0137, 0.2561, 0.0118) and Cu at (0.1123, 0.2781, 0.6723).